Entry 1:
# Na3V2P2O8F3

A relaxed Na3V2P2O8F3 crystal (GGA+U, Alexandria via LeMat-Bulk).

Computed properties:
Total DFT energy (no corrections)   -6.60 eV per atom

Lattice parameters (Å, degrees): 9.1532 9.2071 10.9488 90.00 90.00 90.00
Last column: nearest neighbours and their distance in Å.
Fractional coordinates of all 72 atoms:
O (0.9015, 0.5932, 0.1609)  1 P 1.55
O (0.5985, 0.0932, 0.3391)  1 P 1.55
O (0.5907, 0.9014, 0.1686)  1 P 1.55
O (0.9093, 0.9014, 0.1690)  1 P 1.55
O (0.4093, 0.5986, 0.3310)  1 P 1.55
O (0.0985, 0.9068, 0.6606)  1 P 1.55
O (0.9093, 0.4014, 0.3314)  1 P 1.55
O (0.9093, 0.9014, 0.8310)  1 P 1.55
O (0.9015, 0.5932, 0.8391)  1 P 1.55
O (0.0907, 0.5986, 0.3314)  1 P 1.55
O (0.9093, 0.4014, 0.6686)  1 P 1.55
O (0.9015, 0.0932, 0.3394)  1 P 1.55
O (0.4015, 0.4068, 0.8394)  1 P 1.55
O (0.5985, 0.5932, 0.8394)  1 P 1.55
O (0.5907, 0.4014, 0.6690)  1 P 1.55
O (0.9015, 0.0932, 0.6606)  1 P 1.55
O (0.0907, 0.0986, 0.8310)  1 P 1.55
O (0.4015, 0.4068, 0.1606)  1 P 1.55
O (0.5985, 0.5932, 0.1606)  1 P 1.55
O (0.4015, 0.9068, 0.3391)  1 P 1.55
O (0.4093, 0.0986, 0.1686)  1 P 1.55
O (0.0985, 0.4068, 0.8391)  1 P 1.55
O (0.0985, 0.9068, 0.3394)  1 P 1.55
O (0.4015, 0.9068, 0.6609)  1 P 1.55
O (0.0985, 0.4068, 0.1609)  1 P 1.55
O (0.5907, 0.4014, 0.3310)  1 P 1.55
O (0.5907, 0.9014, 0.8314)  1 P 1.55
O (0.4093, 0.5986, 0.6690)  1 P 1.55
O (0.0907, 0.0986, 0.1690)  1 P 1.55
O (0.5985, 0.0932, 0.6609)  1 P 1.55
O (0.0907, 0.5986, 0.6686)  1 P 1.55
O (0.4093, 0.0986, 0.8314)  1 P 1.55
V (0.7499, 0.7542, 0.8145)  4 O 2.00-2.05, 2 F 2.03
V (0.2499, 0.7458, 0.6855)  4 O 2.00-2.05, 2 F 2.03
V (0.7499, 0.7542, 0.1855)  4 O 2.00-2.05, 2 F 2.03
V (0.7501, 0.2542, 0.6855)  4 O 2.00-2.05, 2 F 2.03
V (0.2499, 0.7458, 0.3145)  4 O 2.00-2.05, 2 F 2.03
V (0.2501, 0.2458, 0.1855)  4 O 2.00-2.05, 2 F 2.03
V (0.7501, 0.2542, 0.3145)  4 O 2.00-2.05, 2 F 2.03
V (0.2501, 0.2458, 0.8145)  4 O 2.00-2.05, 2 F 2.03
P (0.5000, 0.0000, 0.7450)  4 O 1.55
P (0.0000, 0.0000, 0.2553)  4 O 1.55
P (0.0000, 0.5000, 0.7550)  4 O 1.55
P (0.0000, 0.0000, 0.7447)  4 O 1.55
P (0.5000, 0.0000, 0.2550)  4 O 1.55
P (0.5000, 0.5000, 0.7553)  4 O 1.55
P (0.0000, 0.5000, 0.2450)  4 O 1.55
P (0.5000, 0.5000, 0.2447)  4 O 1.55
F (0.7494, 0.2518, 0.5000)  2 V 2.03
F (0.2497, 0.7391, 0.1292)  1 V 2.03
F (0.7497, 0.7609, 0.6292)  1 V 2.03
F (0.2503, 0.2391, 0.3708)  1 V 2.03
F (0.7503, 0.2609, 0.1292)  1 V 2.03
F (0.7503, 0.2609, 0.8708)  1 V 2.03
F (0.2506, 0.7482, 0.5000)  2 V 2.03
F (0.7506, 0.7518, 0.0000)  2 V 2.03
F (0.2497, 0.7391, 0.8708)  1 V 2.03
F (0.2494, 0.2482, 0.0000)  2 V 2.03
F (0.7497, 0.7609, 0.3708)  1 V 2.03
F (0.2503, 0.2391, 0.6292)  1 V 2.03
Na (0.7499, 0.4845, 0.0000)  4 O 2.45-2.46, 3 F 2.46-2.50
Na (0.5441, 0.7009, 0.5000)  2 O 2.42, 2 F 2.42
Na (0.2501, 0.5155, 0.0000)  4 O 2.45-2.46, 3 F 2.46-2.50
Na (0.7501, 0.9845, 0.5000)  4 O 2.45-2.46, 3 F 2.46-2.50
Na (0.0459, 0.3005, 0.5000)  2 F 2.41, 2 O 2.42
Na (0.4541, 0.8005, 0.0000)  2 F 2.41, 2 O 2.42
Na (0.0441, 0.7991, 0.0000)  2 O 2.42, 2 F 2.42
Na (0.2499, 0.0155, 0.5000)  4 O 2.45-2.46, 3 F 2.46-2.50
Na (0.5459, 0.1995, 0.0000)  2 F 2.41, 2 O 2.42
Na (0.9559, 0.2009, 0.0000)  2 O 2.42, 2 F 2.42
Na (0.4559, 0.2991, 0.5000)  2 O 2.42, 2 F 2.42
Na (0.9541, 0.6995, 0.5000)  2 F 2.41, 2 O 2.42

Entry 2:
# Na3V2P2O10F

A relaxed Na3V2P2O10F crystal (GGA+U, Alexandria via LeMat-Bulk).

Computed properties:
Total DFT energy (no corrections)   -6.76 eV per atom

Lattice parameters (Å, degrees): 6.4780 6.4780 14.0258 117.56 117.56 89.90
Last column: nearest neighbours and their distance in Å.
Fractional coordinates of all 36 atoms:
V (0.8070, 0.7972, 0.3015)  1 O 1.67
V (0.8070, 0.7972, 0.8015)  1 O 1.67
V (0.2041, 0.1943, 0.6985)  1 O 1.67
V (0.2041, 0.1944, 0.1985)  1 O 1.67
O (0.1604, 0.4740, 0.1641)  1 P 1.56
O (0.3714, 0.3419, 0.8560)  1 V 1.67
O (0.4690, 0.1681, 0.1593)  1 P 1.55
O (0.8342, 0.5322, 0.8408)  1 P 1.55
O (0.8321, 0.1457, 0.3358)  1 P 1.56
O (0.5273, 0.8401, 0.8360)  1 P 1.56
O (0.1527, 0.8509, 0.1593)  1 P 1.55
O (0.6593, 0.6299, 0.6440)  1 V 1.67
O (0.8341, 0.5323, 0.3408)  1 P 1.55
O (0.1604, 0.4740, 0.6641)  1 P 1.56
O (0.1504, 0.8494, 0.3407)  1 P 1.55
O (0.4690, 0.1680, 0.6593)  1 P 1.55
O (0.5273, 0.8402, 0.3359)  1 P 1.56
O (0.1503, 0.8494, 0.8407)  1 P 1.55
O (0.8321, 0.1457, 0.8358)  1 P 1.56
O (0.3714, 0.3420, 0.3560)  1 V 1.67
O (0.8556, 0.1684, 0.1642)  1 P 1.56
O (0.6594, 0.6299, 0.1440)  1 V 1.67
O (0.1527, 0.8508, 0.6593)  1 P 1.55
O (0.8556, 0.1684, 0.6642)  1 P 1.56
F (0.9908, 0.0105, 0.5000)  2 V 2.11, 1 Na 2.34
F (0.9908, 0.0105, 0.0000)  2 V 2.11, 1 Na 2.34
Na (0.6985, 0.7459, 0.0001)  6 O 2.42-2.58, 1 F 2.56
Na (0.2546, 0.3046, 0.9999)  6 O 2.42-2.58, 1 F 2.56
Na (0.7348, 0.2654, 0.0000)  1 F 2.34, 6 O 2.44-2.53
Na (0.2546, 0.3046, 0.5000)  6 O 2.42-2.58, 1 F 2.56
Na (0.6976, 0.7460, 0.5000)  6 O 2.41-2.58, 1 F 2.56
Na (0.7350, 0.2656, 0.5000)  1 F 2.34, 6 O 2.45-2.53
P (0.7469, 0.2544, 0.2500)  4 O 1.55-1.56
P (0.7469, 0.2544, 0.7500)  4 O 1.55-1.56
P (0.2468, 0.7544, 0.7500)  4 O 1.55-1.56
P (0.2469, 0.7544, 0.2500)  4 O 1.55-1.56